Below is Th4PAuSe2 after structural relaxation, with properties calculated at the PBE-GGA level.

```
Th4PAuSe2
1.0
7.329 0.000 0.000
0.000 4.193 0.000
-2.422 0.000 6.992
Th P Au Se
4 1 1 2
Cartesian
1.164 0.000 1.638
-0.053 2.097 5.281
4.959 2.097 1.711
3.742 0.000 5.354
0.000 2.097 0.000
-1.211 0.000 3.496
3.664 0.000 0.000
2.453 2.097 3.496
```

Calculated values
- Raw formation energy: -1.30 eV/atom
- Symmetry: P2/m, No. 10
- Calculated density: 10.2 g/cm3
- Calculated volume: 215 Å³ per cell